DFT (GGA-PBE) results for CsNpHg2F6 after structural relaxation.

Unit cell a=8.009 b=6.605 c=6.605 alpha=120.00 beta=90.00 gamma=90.00
Site moments in Bohr magnetons follow the coordinates.
Sites, in units of the cell vectors:
Cs 0.500 0.000 0.000  0.00
Np 0.000 0.000 0.000  2.17
Hg 0.336 0.333 0.667  0.00
Hg 0.664 0.667 0.333  0.00
F 0.840 0.143 0.287  -0.03
F 0.840 0.143 0.857  -0.03
F 0.840 0.713 0.857  -0.03
F 0.160 0.857 0.143  -0.03
F 0.160 0.287 0.143  -0.03
F 0.160 0.857 0.713  -0.03

## Properties
energy relative to the elements, uncorrected	-2.53	eV per atom
total energy	-50.9	eV/cell
symmetry	No. 164